# ZrCuPdPb

A relaxed ZrCuPdPb crystal (GGA-PBE, OQMD via LeMat-Bulk).

POSCAR file:
```
ZrCuPdPb
1.0
-4.3497 -1.8186 0.4528
-3.1134 0.3959 -3.5472
-1.2393 -3.8263 -2.5013
Zr Pd Cu Pb
1 1 1 1
direct
0.2500 0.2500 0.2500 Zr
0.5000 0.5000 0.5000 Pd
0.7500 0.7500 0.7500 Cu
0.0000 0.0000 0.0000 Pb
```

space-group type	F-43m, No. 216
crystal system	cubic
energy	-5.43	eV/atom
ρ	10.35	Mg/m³